Record 1
! YNbBi2 (PBE-GGA, optimized geometry); values from VASP
! Space-group type: Fm-3m (225)
! ΔE to the lowest computed polymorph in eV/atom: 0.0000
! VASP energy in eV per cell: -24.7
! Density in kg/m3: 10015
! DOS(E_F) in states/eV/cell: 4.93
&SYSTEM
  ibrav = 0, nat = 4, ntyp = 3
/
ATOMIC_SPECIES
Y 88.91 Y.upf
Bi 208.98 Bi.upf
Nb 92.91 Nb.upf
ATOMIC_POSITIONS angstrom
Y 0.0000 0.0000 0.0000
Bi -5.5527 -7.7624 0.4285
Bi -1.8509 -2.5875 0.1428
Nb -3.7018 -5.1749 0.2857
CELL_PARAMETERS angstrom
-0.4807 -4.7709 2.0127
-4.6924 -1.7951 1.3425
-2.2305 -3.7839 -2.7839


Record 2
! Zn2RuBr (PBE-GGA, optimized geometry); values from VASP
! Space-group type: P4/mmm (123)
! ΔE to the lowest computed polymorph in eV/atom: 0.0495
! VASP energy in eV per cell: -12.8
! Density in kg/m3: 7398
! DOS(E_F) in states/eV/cell: 2.79
! Formation energy without anion corrections in meV/atom: 169
&SYSTEM
  ibrav = 0, nat = 4, ntyp = 3
/
ATOMIC_SPECIES
Ru 101.07 Ru.upf
Br 79.90 Br.upf
Zn 65.41 Zn.upf
ATOMIC_POSITIONS angstrom
Ru 1.6657 1.6260 4.8437
Br 1.6657 1.6260 1.6146
Zn 0.0000 0.0000 3.5833
Zn 0.0000 0.0000 6.1041
CELL_PARAMETERS angstrom
3.2915 -0.0395 0.0000
0.0399 3.2915 0.0000
0.0000 0.0000 6.4583


Record 3
! Ce6CoIr3 (PBE-GGA, optimized geometry); values from VASP
! Space-group type: P2_1/m (11)
! VASP energy in eV per cell: -148.0
! Density in kg/m3: 10010
! DOS(E_F) in states/eV/cell: 47.85
&SYSTEM
  ibrav = 0, nat = 20, ntyp = 3
/
ATOMIC_SPECIES
Ir 192.22 Ir.upf
Ce 140.12 Ce.upf
Co 58.93 Co.upf
ATOMIC_POSITIONS angstrom
Ir -2.3677 2.8956 9.4207
Ir 2.3137 4.4000 11.3800
Ir -0.3329 2.1287 5.4658
Ir -0.3051 -2.3406 2.1779
Ir 2.3415 -0.0693 8.0921
Ir 4.3763 -0.8362 4.1371
Ce -4.3462 5.4915 8.0123
Ce 2.3362 -2.6586 3.7079
Ce -2.6677 0.5177 5.1633
Ce 2.1256 1.6722 10.8691
Ce -0.1171 0.3872 2.6888
Ce -0.2548 1.1371 8.1003
Ce 2.2633 0.9223 5.4576
Ce 6.3548 -3.4321 5.5455
Ce 4.6763 1.5417 8.3946
Ce -0.3276 4.7180 9.8500
Ce -2.3499 3.8269 6.7593
Ce 4.3584 -1.7675 6.7986
Co 6.5900 -0.2927 6.7898
Co -4.5815 2.3521 6.7681
CELL_PARAMETERS angstrom
-1.4875 -3.2141 1.9000
9.5320 -2.1015 3.9078
-6.0359 7.3750 7.7501


Record 4
! BeZnCl2 (PBE-GGA, optimized geometry); values from VASP
! Space-group type: P4/mmm (123)
! ΔE to the lowest computed polymorph in eV/atom: 0.5943
! VASP energy in eV per cell: -9.0
! Density in kg/m3: 2851
! DOS(E_F) in states/eV/cell: 0.00
! Formation energy without anion corrections in meV/atom: -66
&SYSTEM
  ibrav = 0, nat = 4, ntyp = 3
/
ATOMIC_SPECIES
Zn 65.41 Zn.upf
Cl 35.45 Cl.upf
Be 9.01 Be.upf
ATOMIC_POSITIONS angstrom
Zn 1.5556 -0.1019 2.7589
Cl 8.0329 0.1628 2.7212
Cl 5.3540 0.1085 1.8137
Be 6.0179 -0.0115 4.2706
CELL_PARAMETERS angstrom
-0.7612 1.9665 2.1294
-0.5900 -2.2607 1.8768
8.9246 0.1809 3.0233


Record 5
! ScCd3Ag3 (PBE-GGA, optimized geometry); values from VASP
! Space-group type: P6_3/m (176)
! ΔE to the lowest computed polymorph in eV/atom: 0.0000
! VASP energy in eV per cell: -36.5
! Density in kg/m3: 8453
! DOS(E_F) in states/eV/cell: 8.41
&SYSTEM
  ibrav = 0, nat = 14, ntyp = 3
/
ATOMIC_SPECIES
Ag 107.87 Ag.upf
Cd 112.41 Cd.upf
Sc 44.96 Sc.upf
ATOMIC_POSITIONS angstrom
Ag 3.7082 -2.9105 5.6497
Ag 3.7082 2.3243 6.6651
Ag 1.2361 1.6995 0.3043
Ag 3.7082 0.5862 1.6240
Ag 1.2361 3.4376 5.3454
Ag 1.2361 6.9343 1.3197
Cd 3.7082 5.7947 2.6093
Cd 1.2361 0.6377 6.3230
Cd 3.7082 2.8905 3.7137
Cd 3.7082 3.3861 0.6464
Cd 1.2361 -1.7709 4.3602
Cd 1.2361 1.1332 3.2557
Sc 3.7082 0.0000 4.6463
Sc 1.2361 4.0238 2.3231
CELL_PARAMETERS angstrom
4.9443 0.0000 0.0000
0.0000 8.0476 0.0000
0.0000 -4.0238 6.9694


Record 6
! LiTbDyMg (PBE-GGA, optimized geometry); values from VASP
! Space-group type: F-43m (216)
! VASP energy in eV per cell: -12.6
! Density in kg/m3: 5509
! DOS(E_F) in states/eV/cell: 5.70
&SYSTEM
  ibrav = 0, nat = 4, ntyp = 4
/
ATOMIC_SPECIES
Mg 24.30 Mg.upf
Dy 162.50 Dy.upf
Tb 158.93 Tb.upf
Li 6.94 Li.upf
ATOMIC_POSITIONS angstrom
Mg 7.9758 4.6048 3.2561
Dy 0.0000 0.0000 0.0000
Tb 5.3172 3.0699 2.1707
Li 2.6586 1.5349 1.0854
CELL_PARAMETERS angstrom
5.3172 0.0000 0.0000
2.6586 4.6048 0.0000
2.6586 1.5349 4.3415


Q: Which value of VASP energy does entry 6 give?
A: -12.6 eV per cell


Copy entry 3 word for word.
! Ce6CoIr3 (PBE-GGA, optimized geometry); values from VASP
! Space-group type: P2_1/m (11)
! VASP energy in eV per cell: -148.0
! Density in kg/m3: 10010
! DOS(E_F) in states/eV/cell: 47.85
&SYSTEM
  ibrav = 0, nat = 20, ntyp = 3
/
ATOMIC_SPECIES
Ir 192.22 Ir.upf
Ce 140.12 Ce.upf
Co 58.93 Co.upf
ATOMIC_POSITIONS angstrom
Ir -2.3677 2.8956 9.4207
Ir 2.3137 4.4000 11.3800
Ir -0.3329 2.1287 5.4658
Ir -0.3051 -2.3406 2.1779
Ir 2.3415 -0.0693 8.0921
Ir 4.3763 -0.8362 4.1371
Ce -4.3462 5.4915 8.0123
Ce 2.3362 -2.6586 3.7079
Ce -2.6677 0.5177 5.1633
Ce 2.1256 1.6722 10.8691
Ce -0.1171 0.3872 2.6888
Ce -0.2548 1.1371 8.1003
Ce 2.2633 0.9223 5.4576
Ce 6.3548 -3.4321 5.5455
Ce 4.6763 1.5417 8.3946
Ce -0.3276 4.7180 9.8500
Ce -2.3499 3.8269 6.7593
Ce 4.3584 -1.7675 6.7986
Co 6.5900 -0.2927 6.7898
Co -4.5815 2.3521 6.7681
CELL_PARAMETERS angstrom
-1.4875 -3.2141 1.9000
9.5320 -2.1015 3.9078
-6.0359 7.3750 7.7501


Q: What is the DOS(E_F) in the fourth record?
A: 0.00 states/eV/cell


Q: Among the records above, which one has the highest density?
A: YNbBi2